(i)
# NbCrTe2I, relaxed, DFT PBE
# Density of states at the Fermi level   5.7 states/eV/cell
data_NbCrTe2I
_chemical_formula_sum 'Nb1 Cr1 Te2 I1'
_space_group_name_H-M_alt 'P 4/m m m'
_space_group_IT_number 123
_space_group_name_Hall '-P 4 2'
_cell_length_a 5.2208
_cell_length_b 5.2208
_cell_length_c 5.2029
_cell_angle_alpha 90.00
_cell_angle_beta 90.00
_cell_angle_gamma 90.00
loop_
_atom_site_label
_atom_site_type_symbol
_atom_site_fract_x
_atom_site_fract_y
_atom_site_fract_z
Nb1 Nb 0.0000 0.0000 0.0000
Cr1 Cr 0.5000 0.5000 0.5000
Te1 Te 0.0000 0.5000 0.5000
I1 I 0.5000 0.5000 0.0000

***

(ii)
# NbCrTe2I, relaxed, DFT PBE
# Density of states at the Fermi level   3.6 states/eV/cell
data_NbCrTe2I
_chemical_formula_sum 'Nb1 Cr1 Te2 I1'
_space_group_name_H-M_alt 'P 4/m m m'
_space_group_IT_number 123
_space_group_name_Hall '-P 4 2'
_cell_length_a 5.4117
_cell_length_b 5.4117
_cell_length_c 5.7416
_cell_angle_alpha 90.00
_cell_angle_beta 90.00
_cell_angle_gamma 90.00
loop_
_atom_site_label
_atom_site_type_symbol
_atom_site_fract_x
_atom_site_fract_y
_atom_site_fract_z
Nb1 Nb 0.0000 0.0000 0.0000
Cr1 Cr 0.5000 0.5000 0.5000
Te1 Te 0.0000 0.5000 0.0000
I1 I 0.0000 0.0000 0.5000

***

Least stable: (i)

***

(i)
# NbCrTeI2, relaxed, DFT PBE
# Density of states at the Fermi level   15.9 states/eV/cell
data_NbCrTeI2
_chemical_formula_sum 'Nb1 Cr1 Te1 I2'
_space_group_name_H-M_alt 'P 4/m m m'
_space_group_IT_number 123
_space_group_name_Hall '-P 4 2'
_cell_length_a 5.1150
_cell_length_b 5.1150
_cell_length_c 5.1312
_cell_angle_alpha 90.00
_cell_angle_beta 90.00
_cell_angle_gamma 90.00
loop_
_atom_site_label
_atom_site_type_symbol
_atom_site_fract_x
_atom_site_fract_y
_atom_site_fract_z
Nb1 Nb 0.0000 0.0000 0.0000
Cr1 Cr 0.5000 0.5000 0.5000
Te1 Te 0.5000 0.5000 0.0000
I1 I 0.0000 0.5000 0.5000

***

(ii)
# NbCrTeI2, relaxed, DFT PBE
# Density of states at the Fermi level   4.5 states/eV/cell
data_NbCrTeI2
_chemical_formula_sum 'Nb1 Cr1 Te1 I2'
_space_group_name_H-M_alt 'P 4/m m m'
_space_group_IT_number 123
_space_group_name_Hall '-P 4 2'
_cell_length_a 5.7058
_cell_length_b 5.7058
_cell_length_c 5.4237
_cell_angle_alpha 90.00
_cell_angle_beta 90.00
_cell_angle_gamma 90.00
loop_
_atom_site_label
_atom_site_type_symbol
_atom_site_fract_x
_atom_site_fract_y
_atom_site_fract_z
Nb1 Nb 0.0000 0.0000 0.0000
Cr1 Cr 0.5000 0.5000 0.5000
Te1 Te 0.0000 0.0000 0.5000
I1 I 0.0000 0.5000 0.0000

***

Least stable: (i)

***

(i)
# CrNiI2, relaxed, DFT PBE
# Density of states at the Fermi level   14.8 states/eV/cell
data_CrNiI2
_chemical_formula_sum 'Cr4 Ni4 I8'
_space_group_name_H-M_alt 'I -4 2 d'
_space_group_IT_number 122
_space_group_name_Hall 'I -4 2bw'
_cell_length_a 6.1468
_cell_length_b 6.1468
_cell_length_c 12.0840
_cell_angle_alpha 90.00
_cell_angle_beta 90.00
_cell_angle_gamma 90.00
loop_
_atom_site_label
_atom_site_type_symbol
_atom_site_fract_x
_atom_site_fract_y
_atom_site_fract_z
Cr1 Cr 0.0000 0.0000 0.0000
Ni1 Ni 0.0000 0.0000 0.5000
I1 I 0.2198 0.2500 0.6250

***

(ii)
# CrNiI2, relaxed, DFT PBE
# Density of states at the Fermi level   20.1 states/eV/cell
data_CrNiI2
_chemical_formula_sum 'Cr4 Ni4 I8'
_space_group_name_H-M_alt 'F m -3 m'
_space_group_IT_number 225
_space_group_name_Hall '-F 4 2 3'
_cell_length_a 7.1536
_cell_length_b 7.1536
_cell_length_c 7.1536
_cell_angle_alpha 90.00
_cell_angle_beta 90.00
_cell_angle_gamma 90.00
loop_
_atom_site_label
_atom_site_type_symbol
_atom_site_fract_x
_atom_site_fract_y
_atom_site_fract_z
Cr1 Cr 0.0000 0.0000 0.0000
Ni1 Ni 0.0000 0.0000 0.5000
I1 I 0.2500 0.2500 0.2500

***

Least stable: (ii)